K4LiPu3O12: relaxed, GGA-PBE.

Lattice parameters (Å, degrees): 7.392 7.392 7.392 109.47 109.47 109.47
Element x y z (fractional)
K 0.500 0.000 0.000
O 0.750 0.500 0.250
Li 0.000 0.000 0.000
O 0.722 0.722 0.000
K 0.000 0.500 0.000
O 0.278 0.278 0.000
O 0.000 0.722 0.722
O 0.750 0.250 0.500
O 0.500 0.250 0.750
O 0.000 0.278 0.278
O 0.250 0.750 0.500
K 0.000 0.000 0.500
O 0.278 0.000 0.278
O 0.722 0.000 0.722
Pu 0.000 0.500 0.500
O 0.250 0.500 0.750
K 0.500 0.500 0.500
Pu 0.500 0.000 0.500
O 0.500 0.750 0.250
Pu 0.500 0.500 0.000

## Properties
Calculated density = 5.8 g/cm3
Raw formation energy = -2.36 eV/atom
Volume = 15.545 Å³/atom
Uncorrected energy = -7.798 eV/atom